## AlAs2Ru (PBE)

Data for a relaxed AlAs2Ru crystal.

```
data_AlAs2Ru
_chemical_formula_sum 'Al2 As4 Ru2'
_symmetry_space_group_name_H-M 'I m m 2'
_symmetry_Int_Tables_number 44
_cell_length_a 3.1913
_cell_length_b 4.7517
_cell_length_c 8.6140
_cell_angle_alpha 90.00
_cell_angle_beta 90.00
_cell_angle_gamma 90.00
loop_
_symmetry_equiv_pos_as_xyz
'x,y,z'
'-x,-y,z'
'-x,y,z'
'x,-y,z'
'x+1/2,y+1/2,z+1/2'
'-x+1/2,-y+1/2,z+1/2'
'-x+1/2,y+1/2,z+1/2'
'x+1/2,-y+1/2,z+1/2'
loop_
_atom_site_label
_atom_site_fract_x
_atom_site_fract_y
_atom_site_fract_z
Al1 0.0000 0.0000 0.0000
As1 0.0000 0.0000 0.5218
As2 0.0000 0.5000 0.7518
Ru1 0.0000 0.5000 0.2487
```

Results
Formation energy from the elements, meV/atom: 112
DOS(E_F), states/eV per cell: 4.7
Raw total energy, eV/atom: -5.47
Theoretical density, g/cm³: 7.07